PBE Ac2Tb3Tl4, relaxed; density of states at the Fermi level = 17.1 states/eV/cell; energy relative to the elements = -0.28 eV/atom; space-group type = Cmce, No. 64
1.0
7.3157 0.0000 0.0000
0.0000 9.2613 0.0000
-3.6578 0.0000 8.6810
Ac Tb Tl
4 6 8
Direct
0.1108 0.5791 0.2216
0.8892 0.4209 0.7784
0.3892 0.0791 0.7784
0.6108 0.9209 0.2216
0.0000 0.0000 0.0000
0.5000 0.5000 0.0000
0.5336 0.7500 0.5673
0.9664 0.2500 0.4327
0.4664 0.2500 0.4327
0.0336 0.7500 0.5673
0.7108 0.7500 0.9216
0.7892 0.2500 0.0784
0.2892 0.2500 0.0784
0.2108 0.7500 0.9216
0.1838 0.9585 0.3675
0.8162 0.0415 0.6325
0.3162 0.4585 0.6325
0.6838 0.5415 0.3675